## K4Sm3CoO8 (PBE+U)

Data for an optimized crystal structure of K4Sm3CoO8.

a b c (Å): 12.511 6.811 7.344
angles (deg): 90.00 120.59 90.00
Space group C2/m (No. 12)
Inequivalent atoms, fractional coordinates:
K  0.000  0.000  0.000 x2
K  0.000  0.500  0.000 x2
K  0.250  0.250  0.000 x4
Sm  0.000  0.000  0.500 x2
Sm  0.250  0.250  0.500 x4
Co  0.000  0.500  0.500 x2
O  0.024  0.289  0.338 x8
O  0.219  0.000  0.690 x4
O  0.228  0.000  0.272 x4

Energy   -196.9 eV per cell